A relaxed structure of Pm12Sb6Rh, computed with GGA-PBE.

Summary:
The calculation puts the density of states at the Fermi level at 16.67 states/eV/cell. The value obtained for the electronic total energy is -102.47 eV per cell. As for the space group: No. 148.

Unit cell a=8.7800 b=8.7800 c=8.7800 alpha=99.55 beta=99.55 gamma=99.55
With the nearest neighbours (Å) after each atom.
Atoms (fractional coordinates):
Pm 0.8069 0.5812 0.4457  4 Sb 3.12-3.31
Pm 0.4457 0.8069 0.5812  4 Sb 3.12-3.31
Pm 0.5812 0.4457 0.8069  4 Sb 3.12-3.31
Pm 0.1931 0.4188 0.5543  4 Sb 3.12-3.31
Pm 0.5543 0.1931 0.4188  4 Sb 3.12-3.31
Pm 0.4188 0.5543 0.1931  4 Sb 3.12-3.31
Pm 0.0572 0.9845 0.3159  1 Rh 2.77
Pm 0.0155 0.6841 0.9428  1 Rh 2.77
Pm 0.6841 0.9428 0.0155  1 Rh 2.77
Pm 0.9428 0.0155 0.6841  1 Rh 2.77
Pm 0.9845 0.3159 0.0572  1 Rh 2.77
Pm 0.3159 0.0572 0.9845  1 Rh 2.77
Sb 0.6868 0.8767 0.3582  7 Pm 3.12-3.33
Sb 0.6418 0.3132 0.1233  7 Pm 3.12-3.33
Sb 0.1233 0.6418 0.3132  7 Pm 3.12-3.33
Sb 0.3132 0.1233 0.6418  7 Pm 3.12-3.33
Sb 0.3582 0.6868 0.8767  7 Pm 3.12-3.33
Sb 0.8767 0.3582 0.6868  7 Pm 3.12-3.33
Rh 0.0000 0.0000 0.0000  6 Pm 2.77


A relaxed structure of PmSb6Rh12, computed with GGA-PBE.

Summary:
The calculation puts the density of states at the Fermi level at 12.98 states/eV/cell. The value obtained for the electronic total energy is -123.42 eV per cell. As for the space group: No. 166.

Unit cell a=7.4998 b=7.4998 c=7.4998 alpha=106.77 beta=106.77 gamma=106.77
With the nearest neighbours (Å) after each atom.
Atoms (fractional coordinates):
Pm 0.0000 0.0000 0.0000  6 Rh 3.16
Sb 0.7046 0.2674 0.2674  7 Rh 2.55-2.74
Sb 0.2674 0.2674 0.7046  7 Rh 2.55-2.74
Sb 0.2674 0.7046 0.2674  7 Rh 2.55-2.74
Sb 0.7326 0.7326 0.2954  7 Rh 2.55-2.74
Sb 0.2954 0.7326 0.7326  7 Rh 2.55-2.74
Sb 0.7326 0.2954 0.7326  7 Rh 2.55-2.74
Rh 0.8775 0.1225 0.5000  4 Sb 2.55-2.59
Rh 0.8334 0.6012 0.6012  3 Sb 2.66-2.74, 4 Rh 2.80-2.97
Rh 0.6012 0.6012 0.8334  3 Sb 2.66-2.74, 4 Rh 2.80-2.97
Rh 0.3988 0.1666 0.3988  3 Sb 2.66-2.74, 4 Rh 2.80-2.97
Rh 0.3988 0.3988 0.1666  3 Sb 2.66-2.74, 4 Rh 2.80-2.97
Rh 0.1666 0.3988 0.3988  3 Sb 2.66-2.74, 4 Rh 2.80-2.97
Rh 0.1225 0.5000 0.8775  4 Sb 2.55-2.59
Rh 0.5000 0.8775 0.1225  4 Sb 2.55-2.59
Rh 0.1225 0.8775 0.5000  4 Sb 2.55-2.59
Rh 0.8775 0.5000 0.1225  4 Sb 2.55-2.59
Rh 0.5000 0.1225 0.8775  4 Sb 2.55-2.59
Rh 0.6012 0.8334 0.6012  3 Sb 2.66-2.74, 4 Rh 2.80-2.97


A relaxed structure of Pm2SbRh, computed with GGA-PBE.

Summary:
The calculation puts the density of states at the Fermi level at 0.62 states/eV/cell. The value obtained for the electronic total energy is -24.02 eV per cell. As for the space group: No. 123. For the distance to the lowest polymorph of the same formula, the calculation gives 0.000 eV/f.u.

Unit cell a=3.6084 b=3.6084 c=7.7555 alpha=90.00 beta=90.00 gamma=90.00
With the nearest neighbours (Å) after each atom.
Atoms (fractional coordinates):
Sb 0.5000 0.5000 0.5000  8 Pm 3.35, 4 Sb 3.61
Rh 0.5000 0.5000 0.0000  8 Pm 3.07
Pm 0.0000 0.0000 0.7795  4 Rh 3.07, 4 Sb 3.35, 1 Pm 3.42
Pm 0.0000 0.0000 0.2205  4 Rh 3.07, 4 Sb 3.35, 1 Pm 3.42


A relaxed structure of Pm6Sb3Rh, computed with GGA-PBE.

Summary:
The calculation puts the density of states at the Fermi level at 15.86 states/eV/cell. The value obtained for the electronic total energy is -110.32 eV per cell. As for the space group: No. 148.

Unit cell a=8.6324 b=8.6324 c=8.6324 alpha=85.32 beta=85.32 gamma=85.32
With the nearest neighbours (Å) after each atom.
Atoms (fractional coordinates):
Pm 0.2518 0.8856 0.1755  1 Rh 2.82, 1 Sb 3.15
Pm 0.1144 0.8245 0.7482  1 Rh 2.82, 1 Sb 3.15
Pm 0.5615 0.8164 0.4818  1 Rh 2.81
Pm 0.8245 0.7482 0.1144  1 Rh 2.82, 1 Sb 3.15
Pm 0.4818 0.5615 0.8164  1 Rh 2.81
Pm 0.1836 0.5182 0.4385  1 Rh 2.81
Pm 0.8164 0.4818 0.5615  1 Rh 2.81
Pm 0.5182 0.4385 0.1836  1 Rh 2.81
Pm 0.1755 0.2518 0.8856  1 Rh 2.82, 1 Sb 3.15
Pm 0.4385 0.1836 0.5182  1 Rh 2.81
Pm 0.8856 0.1755 0.2518  1 Rh 2.82, 1 Sb 3.15
Pm 0.7482 0.1144 0.8245  1 Rh 2.82, 1 Sb 3.15
Sb 0.4390 0.9333 0.8187  7 Pm 3.15-3.48
Sb 0.9333 0.8187 0.4390  7 Pm 3.15-3.48
Sb 0.1813 0.5610 0.0667  7 Pm 3.15-3.48
Sb 0.8187 0.4390 0.9333  7 Pm 3.15-3.48
Sb 0.0667 0.1813 0.5610  7 Pm 3.15-3.48
Sb 0.5610 0.0667 0.1813  7 Pm 3.15-3.48
Rh 0.0000 0.0000 0.0000  6 Pm 2.82
Rh 0.5000 0.5000 0.5000  6 Pm 2.81